# 1
This record from the Alexandria database describes crystalline TbSb2Pb at its relaxed geometry. The functional is PBE.

a b c (Å): 8.1225 8.1225 8.1225
angles (deg): 31.31 31.31 31.31
Closest atoms and distances in Å follow each position.
Positions (direct):
Tb1 0.0000 0.0000 0.0000  6 Sb 3.11
Sb1 0.2550 0.2550 0.2550  3 Tb 3.11, 3 Pb 3.25
Sb2 0.7450 0.7450 0.7450  3 Tb 3.11, 3 Pb 3.25
Pb1 0.5000 0.5000 0.5000  6 Sb 3.25

Calculated volume ... 32.11 Å³/atom
Density ... 7.9 g/cm3
E_form (uncorrected) ... -0.434 eV per atom
N(E_F) ... 2.68 states/eV/f.u.

=====

# 2
This record from the Alexandria database describes crystalline Tb3Sb2Pb at its relaxed geometry. The functional is PBE.

a b c (Å): 7.7506 7.7506 7.7506
angles (deg): 147.50 132.34 58.87
Closest atoms and distances in Å follow each position.
Positions (direct):
Tb1 0.0000 0.0000 0.0000  4 Sb 3.11, 2 Pb 3.13
Tb2 0.3272 0.3272 0.0000  4 Sb 3.08-3.13, 2 Pb 3.19
Tb3 0.6728 0.6728 0.0000  4 Sb 3.08-3.13, 2 Pb 3.19
Sb1 0.1656 0.6656 0.5000  6 Tb 3.08-3.13
Sb2 0.8344 0.3344 0.5000  6 Tb 3.08-3.13
Pb1 0.5000 0.0000 0.5000  6 Tb 3.13-3.19

Calculated volume ... 30.56 Å³/atom
Density ... 8.4 g/cm3
E_form (uncorrected) ... -0.878 eV per atom
N(E_F) ... 2.89 states/eV/f.u.

=====

# 3
This record from the Alexandria database describes crystalline Tb5Sb2Pb2 at its relaxed geometry. The functional is PBE.

a b c (Å): 8.7788 8.7788 8.2831
angles (deg): 90.00 90.00 56.11
Closest atoms and distances in Å follow each position.
Positions (direct):
Tb1 0.0000 0.0000 0.0000  2 Pb 3.15, 4 Sb 3.19
Tb2 0.0280 0.7034 0.6608  3 Sb 3.10-3.26, 3 Pb 3.15-3.29
Tb3 0.2034 0.5280 0.1608  3 Sb 3.10-3.26, 3 Pb 3.15-3.29
Tb4 0.2966 0.9720 0.6608  3 Sb 3.10-3.26, 3 Pb 3.15-3.29
Tb5 0.4720 0.7966 0.1608  3 Sb 3.10-3.26, 3 Pb 3.15-3.29
Tb6 0.5000 0.5000 0.5000  2 Pb 3.15, 4 Sb 3.19
Tb7 0.5280 0.2034 0.8392  3 Sb 3.10-3.26, 3 Pb 3.15-3.29
Tb8 0.7034 0.0280 0.3392  3 Sb 3.10-3.26, 3 Pb 3.15-3.29
Tb9 0.7966 0.4720 0.8392  3 Sb 3.10-3.26, 3 Pb 3.15-3.29
Tb10 0.9720 0.2966 0.3392  3 Sb 3.10-3.26, 3 Pb 3.15-3.29
Sb1 0.1413 0.8587 0.3580  8 Tb 3.10-3.26, 1 Sb 3.31
Sb2 0.3587 0.6413 0.8580  8 Tb 3.10-3.26, 1 Sb 3.31
Sb3 0.6413 0.3587 0.1420  8 Tb 3.10-3.26, 1 Sb 3.31
Sb4 0.8587 0.1413 0.6420  8 Tb 3.10-3.26, 1 Sb 3.31
Pb1 0.2033 0.2033 0.0000  7 Tb 3.15-3.29
Pb2 0.2967 0.2967 0.5000  7 Tb 3.15-3.29
Pb3 0.7033 0.7033 0.5000  7 Tb 3.15-3.29
Pb4 0.7967 0.7967 0.0000  7 Tb 3.15-3.29

Calculated volume ... 29.44 Å³/atom
Density ... 9.1 g/cm3
E_form (uncorrected) ... -0.787 eV per atom
N(E_F) ... 5.85 states/eV/f.u.

=====

# 4
This record from the Alexandria database describes crystalline Tb4SbPb at its relaxed geometry. The functional is PBE.

a b c (Å): 8.3045 8.3045 6.3116
angles (deg): 103.25 103.25 114.70
Closest atoms and distances in Å follow each position.
Positions (direct):
Tb1 0.0826 0.7024 0.9299  2 Sb 3.20-3.22, 2 Pb 3.25-3.36, 3 Tb 3.47-3.55
Tb2 0.2158 0.3847 0.6745  2 Sb 3.12-3.14, 2 Pb 3.27-3.33, 2 Tb 3.29-3.48
Tb3 0.2976 0.9174 0.5701  2 Sb 3.20-3.22, 2 Pb 3.25-3.36, 3 Tb 3.47-3.55
Tb4 0.3847 0.2158 0.1745  2 Sb 3.12-3.14, 2 Pb 3.27-3.33, 2 Tb 3.29-3.48
Tb5 0.6153 0.7842 0.8255  2 Sb 3.12-3.14, 2 Pb 3.27-3.33, 2 Tb 3.29-3.48
Tb6 0.7024 0.0826 0.4299  2 Sb 3.20-3.22, 2 Pb 3.25-3.36, 3 Tb 3.47-3.55
Tb7 0.7842 0.6153 0.3255  2 Sb 3.12-3.14, 2 Pb 3.27-3.33, 2 Tb 3.29-3.48
Tb8 0.9174 0.2976 0.0701  2 Sb 3.20-3.22, 2 Pb 3.25-3.36, 3 Tb 3.47-3.55
Sb1 0.0022 0.9978 0.2500  8 Tb 3.12-3.22, 2 Sb 3.16
Sb2 0.9978 0.0022 0.7500  8 Tb 3.12-3.22, 2 Sb 3.16
Pb1 0.3825 0.6175 0.2500  8 Tb 3.25-3.36
Pb2 0.6175 0.3825 0.7500  8 Tb 3.25-3.36

Calculated volume ... 29.83 Å³/atom
Density ... 8.9 g/cm3
E_form (uncorrected) ... -0.489 eV per atom
N(E_F) ... 6.90 states/eV/f.u.

=====

# 5
This record from the Alexandria database describes crystalline TbSbPb at its relaxed geometry. The functional is PBE.

a b c (Å): 8.5899 8.5899 8.5899
angles (deg): 36.10 36.10 36.10
Closest atoms and distances in Å follow each position.
Positions (direct):
Tb1 0.0905 0.0905 0.0905  4 Sb 3.12-3.14
Tb2 0.9095 0.9095 0.9095  4 Sb 3.12-3.14
Sb1 0.2209 0.2209 0.2209  1 Pb 3.10, 4 Tb 3.12-3.14
Sb2 0.7791 0.7791 0.7791  1 Pb 3.10, 4 Tb 3.12-3.14
Pb1 0.3497 0.3497 0.3497  1 Sb 3.10, 3 Pb 3.17
Pb2 0.6503 0.6503 0.6503  1 Sb 3.10, 3 Pb 3.17

Calculated volume ... 32.80 Å³/atom
Density ... 8.2 g/cm3
E_form (uncorrected) ... -0.419 eV per atom
N(E_F) ... 0.50 states/eV/f.u.

=====

# 6
This record from the Alexandria database describes crystalline Tb4SbPb2 at its relaxed geometry. The functional is PBE.

a b c (Å): 6.1952 6.5726 10.3928
angles (deg): 90.00 99.00 90.00
Closest atoms and distances in Å follow each position.
Positions (direct):
Tb1 0.0326 0.2500 0.1567  3 Sb 3.22-3.29, 3 Pb 3.29-3.47
Tb2 0.1385 0.7500 0.4472  1 Sb 2.98, 1 Pb 3.09
Tb3 0.4250 0.0070 0.7311  4 Pb 3.18-3.27, 2 Tb 3.19-3.38
Tb4 0.4250 0.4930 0.7311  4 Pb 3.18-3.27, 2 Tb 3.19-3.38
Tb5 0.5750 0.5070 0.2689  4 Pb 3.18-3.27, 2 Tb 3.19-3.38
Tb6 0.5750 0.9930 0.2689  4 Pb 3.18-3.27, 2 Tb 3.19-3.38
Tb7 0.8615 0.2500 0.5528  1 Sb 2.98, 1 Pb 3.09
Tb8 0.9674 0.7500 0.8433  3 Sb 3.22-3.29, 3 Pb 3.29-3.47
Sb1 0.0479 0.7500 0.1568  4 Tb 2.98-3.29
Sb2 0.9521 0.2500 0.8432  4 Tb 2.98-3.29
Pb1 0.3068 0.2500 0.4546  9 Tb 3.09-3.44
Pb2 0.4937 0.2500 0.0061  6 Tb 3.18-3.47, 2 Pb 3.29, 2 Sb 3.51-3.53
Pb3 0.5063 0.7500 0.9939  6 Tb 3.18-3.47, 2 Pb 3.29, 2 Sb 3.51-3.53
Pb4 0.6932 0.7500 0.5454  9 Tb 3.09-3.44

Calculated volume ... 29.86 Å³/atom
Density ... 9.3 g/cm3
E_form (uncorrected) ... -0.516 eV per atom
N(E_F) ... 3.73 states/eV/f.u.

=====

# 7
This record from the Alexandria database describes crystalline Tb5Sb4Pb at its relaxed geometry. The functional is PBE.

a b c (Å): 7.6430 7.6430 7.6430
angles (deg): 99.59 99.59 131.82
Closest atoms and distances in Å follow each position.
Positions (direct):
Tb1 0.0000 0.0000 0.0000  2 Pb 3.12, 4 Sb 3.12
Tb2 0.1960 0.6017 0.7977  5 Sb 3.08-3.12, 1 Pb 3.16
Tb3 0.3983 0.1960 0.5943  5 Sb 3.08-3.12, 1 Pb 3.16
Tb4 0.6017 0.8040 0.4057  5 Sb 3.08-3.12, 1 Pb 3.16
Tb5 0.8040 0.3983 0.2023  5 Sb 3.08-3.12, 1 Pb 3.16
Sb1 0.1005 0.2999 0.4004  6 Tb 3.08-3.12
Sb2 0.2999 0.8995 0.1994  6 Tb 3.08-3.12
Sb3 0.7001 0.1005 0.8006  6 Tb 3.08-3.12
Sb4 0.8995 0.7001 0.5996  6 Tb 3.08-3.12
Pb1 0.5000 0.5000 0.0000  6 Tb 3.12-3.16

Calculated volume ... 30.38 Å³/atom
Density ... 8.1 g/cm3
E_form (uncorrected) ... -0.981 eV per atom
N(E_F) ... 4.77 states/eV/f.u.

=====

# 8
This record from the Alexandria database describes crystalline Tb3SbPb at its relaxed geometry. The functional is PBE.

a b c (Å): 4.6188 8.7635 10.1884
angles (deg): 105.92 90.16 105.17
Closest atoms and distances in Å follow each position.
Positions (direct):
Tb1 0.0187 0.0366 0.1847  1 Sb 3.01, 2 Pb 3.14
Tb2 0.1783 0.3540 0.5617  1 Sb 3.01, 3 Pb 3.10-3.17
Tb3 0.3532 0.7065 0.9605  3 Sb 3.07-3.08, 1 Pb 3.28
Tb4 0.6468 0.2935 0.0395  3 Sb 3.07-3.08, 1 Pb 3.28
Tb5 0.8217 0.6460 0.4383  1 Sb 3.01, 3 Pb 3.10-3.17
Tb6 0.9813 0.9634 0.8153  1 Sb 3.01, 2 Pb 3.14
Sb1 0.1633 0.3289 0.8501  5 Tb 3.01-3.08
Sb2 0.8367 0.6711 0.1499  5 Tb 3.01-3.08
Pb1 0.3718 0.7447 0.6488  6 Tb 3.10-3.28
Pb2 0.6282 0.2553 0.3512  6 Tb 3.10-3.28

Calculated volume ... 38.15 Å³/atom
Density ... 7.0 g/cm3
E_form (uncorrected) ... -0.315 eV per atom
N(E_F) ... 2.92 states/eV/f.u.

=====

# 9
This record from the Alexandria database describes crystalline Tb6Sb5Pb at its relaxed geometry. The functional is PBE.

a b c (Å): 7.6504 7.6504 7.6292
angles (deg): 99.64 99.64 120.09
Closest atoms and distances in Å follow each position.
Positions (direct):
Tb1 0.0789 0.4165 0.7487  5 Sb 3.09-3.13, 1 Pb 3.15
Tb2 0.2466 0.2466 0.2515  5 Sb 3.09-3.12, 1 Pb 3.15
Tb3 0.4165 0.0789 0.7487  5 Sb 3.09-3.13, 1 Pb 3.15
Tb4 0.5835 0.9211 0.2513  5 Sb 3.09-3.13, 1 Pb 3.15
Tb5 0.7534 0.7534 0.7485  5 Sb 3.09-3.12, 1 Pb 3.15
Tb6 0.9211 0.5835 0.2513  5 Sb 3.09-3.13, 1 Pb 3.15
Sb1 0.0000 0.0000 0.5000  6 Tb 3.09-3.13
Sb2 0.1666 0.8334 0.0000  6 Tb 3.11
Sb3 0.3339 0.6661 0.5000  6 Tb 3.09-3.13
Sb4 0.6661 0.3339 0.5000  6 Tb 3.09-3.13
Sb5 0.8334 0.1666 0.0000  6 Tb 3.11
Pb1 0.5000 0.5000 0.0000  6 Tb 3.15

Calculated volume ... 30.33 Å³/atom
Density ... 8.1 g/cm3
E_form (uncorrected) ... -1.008 eV per atom
N(E_F) ... 5.21 states/eV/f.u.

=====

# 10
This record from the Alexandria database describes crystalline TbSb2Pb at its relaxed geometry. The functional is PBE.

a b c (Å): 7.7890 7.7890 7.7890
angles (deg): 34.01 34.01 34.01
Closest atoms and distances in Å follow each position.
Positions (direct):
Tb1 0.0000 0.0000 0.0000  6 Sb 3.11-3.12
Sb1 0.4090 0.4090 0.4090  3 Tb 3.11, 3 Pb 3.26
Sb2 0.5905 0.5905 0.5905  3 Tb 3.12, 3 Pb 3.35
Pb1 0.8296 0.8296 0.8296  6 Sb 3.26-3.35

Calculated volume ... 32.95 Å³/atom
Density ... 7.7 g/cm3
E_form (uncorrected) ... -0.399 eV per atom
N(E_F) ... 2.65 states/eV/f.u.

=====

# 11
This record from the Alexandria database describes crystalline Tb4SbTe2Pb at its relaxed geometry. The functional is PBE.

a b c (Å): 7.6352 4.4208 7.6467
angles (deg): 90.00 109.48 90.00
Closest atoms and distances in Å follow each position.
Positions (direct):
Tb1 0.2395 0.0000 0.2472  1 Pb 3.07, 2 Sb 3.08, 3 Te 3.16-3.17
Tb2 0.2403 0.5000 0.7462  2 Pb 3.08, 1 Sb 3.08, 3 Te 3.16-3.17
Tb3 0.7597 0.5000 0.2538  2 Pb 3.08, 1 Sb 3.08, 3 Te 3.16-3.17
Tb4 0.7605 0.0000 0.7528  1 Pb 3.07, 2 Sb 3.08, 3 Te 3.16-3.17
Sb1 0.0000 0.5000 0.0000  6 Tb 3.08
Te1 0.5000 0.0000 0.0000  6 Tb 3.17
Te2 0.5000 0.5000 0.5000  6 Tb 3.16
Pb1 0.0000 0.0000 0.5000  6 Tb 3.07-3.08

Calculated volume ... 30.42 Å³/atom
Density ... 8.3 g/cm3
E_form (uncorrected) ... -1.127 eV per atom
N(E_F) ... 1.56 states/eV/f.u.

=====

# 12
This record from the Alexandria database describes crystalline Tb6SbTe3Pb2 at its relaxed geometry. The functional is PBE.

a b c (Å): 9.8755 9.8755 8.8360
angles (deg): 102.75 102.75 25.91
Closest atoms and distances in Å follow each position.
Positions (direct):
Tb1 0.0029 0.0029 0.2446  1 Pb 3.07, 2 Sb 3.09, 3 Te 3.16-3.17
Tb2 0.3316 0.3316 0.4225  3 Pb 3.09, 3 Te 3.16-3.17
Tb3 0.3356 0.3356 0.9112  2 Pb 3.08, 1 Sb 3.08, 3 Te 3.17-3.18
Tb4 0.6644 0.6644 0.0888  2 Pb 3.08, 1 Sb 3.08, 3 Te 3.17-3.18
Tb5 0.6684 0.6684 0.5775  3 Pb 3.09, 3 Te 3.16-3.17
Tb6 0.9971 0.9971 0.7554  1 Pb 3.07, 2 Sb 3.09, 3 Te 3.16-3.17
Sb1 0.5000 0.5000 0.0000  6 Tb 3.08-3.09
Te1 0.1658 0.1658 0.8334  6 Tb 3.16-3.18
Te2 0.5000 0.5000 0.5000  6 Tb 3.16-3.17
Te3 0.8342 0.8342 0.1666  6 Tb 3.16-3.18
Pb1 0.1667 0.1667 0.3325  6 Tb 3.07-3.09
Pb2 0.8333 0.8333 0.6675  6 Tb 3.07-3.09

Calculated volume ... 30.57 Å³/atom
Density ... 8.5 g/cm3
E_form (uncorrected) ... -1.071 eV per atom
N(E_F) ... 1.98 states/eV/f.u.

=====

Question: Number 10 is which compound?
Answer: TbSb2Pb

=====

Question: Which formula does entry 6 have?
Answer: Tb4SbPb2

=====

Question: Number 2 is which compound?
Answer: Tb3Sb2Pb